# PuTlCoO5

Crystalline PuTlCoO5 at its relaxed geometry (PBE with a Hubbard U, the Alexandria database).

Properties
- crystal system = monoclinic
- ρ (Mg/m³) = 7.3
- total DFT energy (no corrections) (eV per atom) = -7.51
- volume (Å³/cell) = 266.6
- symmetry = C2/c

Unit cell a=6.207 b=6.207 c=8.099 alpha=106.89 beta=106.89 gamma=104.14
Each line ends with the local moment (μB).
Fractional positions:
Pu  0.000  0.000  0.500  1.68
Pu  0.000  0.000  0.000  1.68
Tl  0.329  0.671  0.250  -0.02
Tl  0.671  0.329  0.750  -0.02
Co  0.691  0.309  0.250  2.59
Co  0.309  0.691  0.750  2.59
O  0.061  0.939  0.250  -0.07
O  0.939  0.061  0.750  -0.07
O  0.895  0.270  0.106  -0.05
O  0.105  0.730  0.894  -0.05
O  0.730  0.105  0.394  -0.05
O  0.270  0.895  0.606  -0.05
O  0.786  0.655  0.392  -0.06
O  0.214  0.345  0.608  -0.06
O  0.345  0.214  0.108  -0.06
O  0.655  0.786  0.892  -0.06